# 1
! Tm12Tl6Co | Alexandria | PBE-GGA | optimized geometry; values from VASP
&SYSTEM
  ibrav = 0, nat = 19, ntyp = 3
/
ATOMIC_SPECIES
Tm 168.93 Tm.upf
Tl 204.38 Tl.upf
Co 58.93 Co.upf
ATOMIC_POSITIONS angstrom
Tm -5.3442 -1.5475 7.1466
Tm -1.3319 -5.4020 5.9287
Tm -1.2890 -1.5724 5.0938
Tm -4.0123 3.8545 5.9287
Tm -0.7172 1.9025 5.0938
Tm -2.0063 0.3301 7.9815
Tm 2.0063 -0.3301 5.0938
Tm 0.7172 -1.9025 7.9815
Tm 4.0123 -3.8545 7.1466
Tm 1.2890 1.5724 7.9815
Tm 1.3319 5.4020 7.1466
Tm 5.3442 1.5475 5.9287
Tl -3.5957 0.5391 5.3490
Tl -2.2647 -2.8445 7.7264
Tl 1.3310 -3.3835 5.3490
Tl -1.3310 3.3835 7.7264
Tl 2.2647 2.8445 5.3490
Tl 3.5957 -0.5391 7.7264
Co 0.0000 0.0000 0.0000
CELL_PARAMETERS angstrom
6.0082 3.4688 4.3584
-6.0082 3.4688 4.3584
0.0000 -6.9376 4.3584
! Density of states at the Fermi level in states/eV per cell: 17.110
! SG: R-3
! Energy relative to the elements in eV per atom: -0.126



# 2
! Ho2ErAl2Ga2 | Alexandria | PBE-GGA | optimized geometry; values from VASP
&SYSTEM
  ibrav = 0, nat = 7, ntyp = 4
/
ATOMIC_SPECIES
Ho 164.93 Ho.upf
Er 167.26 Er.upf
Al 26.98 Al.upf
Ga 69.72 Ga.upf
ATOMIC_POSITIONS angstrom
Ho 0.0000 0.0000 3.9259
Ho 0.0000 0.0000 27.3232
Er 0.0000 0.0000 0.0000
Al 0.0000 0.0000 12.2534
Al 0.0000 0.0000 18.9957
Ga 0.0000 0.0000 8.1681
Ga 0.0000 0.0000 23.0810
CELL_PARAMETERS angstrom
2.1339 1.2320 10.4164
-2.1339 1.2320 10.4164
0.0000 -2.4640 10.4164
! Density of states at the Fermi level in states/eV per cell: 5.258
! SG: R-3m
! Energy relative to the elements in eV per atom: -0.368